[1]
! CoOs3Pd, relaxed, DFT PBE-GGA; values from VASP
&SYSTEM
  ibrav = 0, nat = 5, ntyp = 3
/
ATOMIC_SPECIES
Pd 106.42 Pd.upf
Os 190.23 Os.upf
Co 58.93 Co.upf
ATOMIC_POSITIONS crystal
Pd 0.500 0.500 0.500
Os 0.000 0.000 0.500
Os 0.500 0.000 0.000
Os 0.000 0.500 0.000
Co 0.000 0.000 0.000
CELL_PARAMETERS angstrom
4.378 0.000 0.000
0.000 4.378 0.000
0.000 0.000 4.378
! ΔE to the lowest computed polymorph ... 0 meV per atom
! Space group ... No. 221
! Volume ... 84 Å³/f.u.
! Energy relative to the elements ... 1826.2 meV per atom


[2]
! Rb2NpS2Cl2, relaxed, DFT PBE-GGA; values from VASP
&SYSTEM
  ibrav = 0, nat = 7, ntyp = 4
/
ATOMIC_SPECIES
Rb 85.47 Rb.upf
Cl 35.45 Cl.upf
S 32.06 S.upf
Np 237.00 Np.upf
ATOMIC_POSITIONS crystal
Rb 0.361 0.361 0.723
Rb 0.639 0.639 0.277
Cl 0.837 0.837 0.675
Cl 0.163 0.163 0.325
S 0.500 0.000 0.000
S 0.000 0.500 0.000
Np 0.000 0.000 0.000
CELL_PARAMETERS angstrom
5.253 0.000 0.000
0.000 5.253 0.000
-2.626 -2.626 8.432
! Space group ... No. 139
! Raw formation energy ... -1.60 eV per atom
! Volume ... 233 Å³/f.u.


[3]
! La8PrSm6, relaxed, DFT PBE-GGA; values from VASP
&SYSTEM
  ibrav = 0, nat = 15, ntyp = 3
/
ATOMIC_SPECIES
Sm 150.36 Sm.upf
Pr 140.91 Pr.upf
La 138.91 La.upf
ATOMIC_POSITIONS crystal
Sm 0.106 0.266 0.066
Sm 0.894 0.734 0.934
Sm 0.266 0.563 0.066
Sm 0.563 0.106 0.066
Sm 0.734 0.437 0.934
Sm 0.437 0.894 0.934
Pr 0.000 0.000 0.000
La 0.230 0.918 0.509
La 0.918 0.344 0.509
La 0.770 0.082 0.491
La 0.656 0.770 0.491
La 0.344 0.230 0.509
La 0.575 0.575 0.276
La 0.082 0.656 0.491
La 0.425 0.425 0.724
CELL_PARAMETERS angstrom
9.605 0.000 0.000
4.803 8.318 0.000
4.803 2.773 6.724
! ΔE to the lowest computed polymorph ... 0 meV per atom
! Space group ... No. 148
! Volume ... 537 Å³/f.u.
! Energy relative to the elements ... 131.5 meV per atom


[4]
! Mg4Cd15In, relaxed, DFT PBE-GGA; values from VASP
&SYSTEM
  ibrav = 0, nat = 20, ntyp = 3
/
ATOMIC_SPECIES
Cd 112.41 Cd.upf
Mg 24.30 Mg.upf
In 114.82 In.upf
ATOMIC_POSITIONS crystal
Cd 0.000 0.500 0.500
Cd 0.000 0.500 0.302
Cd 0.500 0.500 0.797
Cd 0.500 0.000 0.105
Cd 0.500 0.500 0.203
Cd 0.500 0.500 0.598
Cd 0.500 0.000 0.500
Cd 0.500 0.000 0.302
Cd 0.500 0.500 0.402
Cd 0.000 0.500 0.895
Cd 0.500 0.000 0.698
Cd 0.000 0.500 0.105
Cd 0.500 0.500 0.000
Cd 0.000 0.500 0.698
Cd 0.500 0.000 0.895
Mg 0.000 0.000 0.796
Mg 0.000 0.000 0.401
Mg 0.000 0.000 0.204
Mg 0.000 0.000 0.599
In 0.000 0.000 0.000
CELL_PARAMETERS angstrom
-0.804 3.360 2.873
-4.420 -0.597 -0.538
-0.101 -14.344 16.748
! Space group ... No. 123
! Volume ... 445 Å³/f.u.
! Energy relative to the elements ... -49.9 meV per atom


[5]
! NpIn3I6, relaxed, DFT PBE-GGA; values from VASP
&SYSTEM
  ibrav = 0, nat = 20, ntyp = 3
/
ATOMIC_SPECIES
I 126.90 I.upf
In 114.82 In.upf
Np 237.00 Np.upf
ATOMIC_POSITIONS crystal
I 0.656 0.434 0.742
I 0.844 0.934 0.758
I 0.656 0.214 0.419
I 0.844 0.714 0.081
I 0.344 0.786 0.581
I 0.683 0.169 0.051
I 0.817 0.669 0.449
I 0.156 0.066 0.242
I 0.183 0.331 0.551
I 0.344 0.566 0.258
I 0.317 0.831 0.949
I 0.156 0.286 0.919
In 0.532 0.901 0.217
In 0.968 0.401 0.283
In 0.468 0.099 0.783
In 0.000 0.000 0.500
In 0.032 0.599 0.717
In 0.500 0.500 0.000
Np 0.000 0.000 0.000
Np 0.500 0.500 0.500
CELL_PARAMETERS angstrom
8.081 0.000 -0.894
0.000 9.249 0.000
0.296 0.000 11.941
! Space group ... No. 14
! Raw formation energy ... -0.61 eV per atom
! Volume ... 447 Å³/f.u.


[6]
! Na2Al3Ge4, relaxed, DFT PBE-GGA; values from VASP
&SYSTEM
  ibrav = 0, nat = 18, ntyp = 3
/
ATOMIC_SPECIES
Al 26.98 Al.upf
Ge 72.64 Ge.upf
Na 22.99 Na.upf
ATOMIC_POSITIONS crystal
Al 0.473 0.250 0.446
Al 0.500 0.500 0.000
Al 0.973 0.250 0.446
Al 0.527 0.750 0.554
Al 0.027 0.750 0.554
Al 0.000 0.000 0.000
Ge 0.191 0.750 0.883
Ge 0.818 0.038 0.636
Ge 0.691 0.750 0.883
Ge 0.809 0.250 0.117
Ge 0.318 0.462 0.636
Ge 0.182 0.962 0.364
Ge 0.309 0.250 0.117
Ge 0.682 0.538 0.364
Na 0.605 0.907 0.209
Na 0.895 0.407 0.791
Na 0.105 0.593 0.209
Na 0.395 0.093 0.791
CELL_PARAMETERS angstrom
-4.024 1.109 -4.164
3.424 -5.281 -4.715
-2.571 -6.151 5.021
! Space group ... No. 64
! Volume ... 181 Å³/f.u.
! Energy relative to the elements ... -21.4 meV per atom


[7]
! SrInI2O, relaxed, DFT PBE-GGA; values from VASP
&SYSTEM
  ibrav = 0, nat = 5, ntyp = 4
/
ATOMIC_SPECIES
I 126.90 I.upf
In 114.82 In.upf
Sr 87.62 Sr.upf
O 16.00 O.upf
ATOMIC_POSITIONS crystal
I 0.500 0.000 0.000
I 0.000 0.500 0.000
In 0.000 0.000 0.000
Sr 0.500 0.500 0.500
O 0.000 0.000 0.500
CELL_PARAMETERS angstrom
-3.725 4.560 0.024
-1.917 -1.538 -5.351
-2.842 -2.330 1.689
! ΔE to the lowest computed polymorph ... 24 meV per atom
! Space group ... No. 123
! Raw formation energy ... -0.87 eV per atom
! Volume ... 140 Å³/f.u.


[8]
! Bi2AuS, relaxed, DFT PBE-GGA; values from VASP
&SYSTEM
  ibrav = 0, nat = 8, ntyp = 3
/
ATOMIC_SPECIES
Bi 208.98 Bi.upf
Au 196.97 Au.upf
S 32.06 S.upf
ATOMIC_POSITIONS crystal
Bi 0.122 0.625 0.250
Bi 0.875 0.878 0.750
Bi 0.628 0.125 0.250
Bi 0.375 0.372 0.750
Au 0.000 0.000 0.000
Au 0.750 0.250 0.500
S 0.250 0.750 0.500
S 0.500 0.500 0.000
CELL_PARAMETERS angstrom
6.134 0.000 0.000
0.000 6.134 0.000
3.067 3.067 7.076
! Space group ... No. 122
! Raw formation energy ... 0.11 eV per atom
! Volume ... 133 Å³/f.u.


[9]
! Tb2HoScSe4, relaxed, DFT PBE-GGA; values from VASP
&SYSTEM
  ibrav = 0, nat = 8, ntyp = 4
/
ATOMIC_SPECIES
Ho 164.93 Ho.upf
Se 78.96 Se.upf
Tb 158.93 Tb.upf
Sc 44.96 Sc.upf
ATOMIC_POSITIONS crystal
Ho 0.500 0.500 0.000
Se 0.000 0.753 0.242
Se 0.500 0.760 0.763
Se 0.500 0.240 0.237
Se 0.000 0.247 0.758
Tb 0.000 0.500 0.500
Tb 0.500 0.000 0.500
Sc 0.000 0.000 0.000
CELL_PARAMETERS angstrom
-3.218 -1.978 1.297
2.935 -6.030 -1.911
1.813 1.422 6.666
! Space group ... No. 10
! Raw formation energy ... -1.71 eV per atom
! Volume ... 186 Å³/f.u.


[10]
! Be2TlNi, relaxed, DFT PBE-GGA; values from VASP
&SYSTEM
  ibrav = 0, nat = 4, ntyp = 3
/
ATOMIC_SPECIES
Be 9.01 Be.upf
Ni 58.69 Ni.upf
Tl 204.38 Tl.upf
ATOMIC_POSITIONS crystal
Be 0.000 0.000 0.069
Be 0.500 0.500 0.263
Ni 0.000 0.000 0.418
Tl 0.500 0.500 0.750
CELL_PARAMETERS angstrom
-0.900 2.329 -1.618
-2.725 -1.182 -0.185
-1.574 2.851 4.980
! ΔE to the lowest computed polymorph ... 123 meV per atom
! Space group ... No. 99
! Volume ... 53 Å³/f.u.
! Energy relative to the elements ... 278.1 meV per atom


[11]
! ScP2WCl, relaxed, DFT PBE-GGA; values from VASP
&SYSTEM
  ibrav = 0, nat = 5, ntyp = 4
/
ATOMIC_SPECIES
Cl 35.45 Cl.upf
P 30.97 P.upf
Sc 44.96 Sc.upf
W 183.84 W.upf
ATOMIC_POSITIONS crystal
Cl 0.000 0.000 0.500
P 0.500 0.000 0.000
P 0.000 0.500 0.000
Sc 0.000 0.000 0.000
W 0.500 0.500 0.500
CELL_PARAMETERS angstrom
-2.986 3.175 -2.431
1.290 -2.107 -4.337
-3.517 -2.995 0.409
! ΔE to the lowest computed polymorph ... 704 meV per atom
! Space group ... No. 123
! Raw formation energy ... 0.84 eV per atom
! Volume ... 115 Å³/f.u.


[12]
! KVPtSe2, relaxed, DFT PBE-GGA; values from VASP
&SYSTEM
  ibrav = 0, nat = 5, ntyp = 4
/
ATOMIC_SPECIES
Se 78.96 Se.upf
V 50.94 V.upf
K 39.10 K.upf
Pt 195.08 Pt.upf
ATOMIC_POSITIONS crystal
Se 0.500 0.000 0.000
Se 0.000 0.500 0.000
V 0.500 0.500 0.500
K 0.000 0.000 0.500
Pt 0.000 0.000 0.000
CELL_PARAMETERS angstrom
-2.532 -4.234 -1.091
0.975 -1.775 4.629
-4.483 2.218 1.795
! Space group ... No. 123
! Raw formation energy ... 0.56 eV per atom
! Volume ... 136 Å³/f.u.


Q: Number 6 is which compound?
A: Na2Al3Ge4


Q: Among the records above, which one has the lowest volume?
A: Be2TlNi